VASP calculation (PBE) on a geometry-optimized Re2NiMo structure.

```
4
Lattice="-2.284 1.440 3.819 0.890 -3.023 3.456 2.876 2.282 -2.896" Properties=species:S:1:pos:R:3 pbc="T T T"
Mo -0.697 -0.792 3.638
Re -1.394 -1.584 7.275
Ni 1.534 -0.767 2.099
Re -0.053 1.465 2.281
```

Output
Size of the total moment ... 0.00 μB/cell
Excess energy over the best structure of this formula in the dataset ... 21 meV/atom
E_form ... 0.030 eV/atom

---

VASP calculation (PBE) on a geometry-optimized Re2NiMo structure.

```
4
Lattice="4.383 0.000 0.000 0.000 2.626 -0.001 0.000 0.718 5.020" Properties=species:S:1:pos:R:3 pbc="T T T"
Re 0.000 1.675 2.558
Mo 2.192 0.836 1.255
Ni 2.192 2.508 3.764
Re 0.000 0.715 4.971
```

Output
Size of the total moment ... 0.00 μB/cell
Excess energy over the best structure of this formula in the dataset ... 131 meV/atom
E_form ... 0.141 eV/atom

---

VASP calculation (PBE) on a geometry-optimized ReNi2Mo structure.

```
4
Lattice="-7.101 -1.842 4.736 -5.291 -1.731 6.727 -6.464 0.527 5.846" Properties=species:S:1:pos:R:3 pbc="T T T"
Ni -4.761 -0.769 4.371
Re -9.526 -1.539 8.745
Ni -18.789 -3.035 17.248
Mo -14.064 -2.272 12.911
```

Output
Size of the total moment ... 0.00 μB/cell
E_form ... 0.175 eV/atom

---

VASP calculation (PBE) on a geometry-optimized ReNiMo4 structure.

```
6
Lattice="3.292 0.331 3.907 -1.384 2.375 4.319 -0.809 -2.712 4.266" Properties=species:S:1:pos:R:3 pbc="T T T"
Mo 2.051 0.162 6.636
Ni 0.825 -0.005 9.369
Mo 0.011 -1.352 6.815
Re 0.000 0.000 0.000
Mo -0.275 1.179 6.841
Mo 0.413 -0.002 4.692
```

Output
Size of the total moment ... 0.00 μB/cell
E_form ... 0.424 eV/atom

---

VASP calculation (PBE) on a geometry-optimized Re2NiMo structure.

```
4
Lattice="-4.808 -6.784 -3.651 -4.009 -8.035 -1.357 -6.241 -6.459 -1.347" Properties=species:S:1:pos:R:3 pbc="T T T"
Re -7.463 -10.545 -3.150
Mo -3.764 -5.319 -1.589
Re -0.066 -0.094 -0.028
Ni -11.293 -15.958 -4.767
```

Output
Size of the total moment ... 0.00 μB/cell
Excess energy over the best structure of this formula in the dataset ... 190 meV/atom
E_form ... 0.199 eV/atom

---

VASP calculation (PBE) on a geometry-optimized ReNi2Mo structure.

```
4
Lattice="2.654 0.051 0.000 -0.052 2.654 0.000 0.000 0.000 7.508" Properties=species:S:1:pos:R:3 pbc="T T T"
Ni 0.000 0.000 0.086
Re 0.000 0.000 3.551
Ni 1.301 1.353 1.822
Mo 1.301 1.353 5.804
```

Output
Size of the total moment ... 0.00 μB/cell
E_form ... 0.036 eV/atom

---

VASP calculation (PBE) on a geometry-optimized ReNi2Mo structure.

```
4
Lattice="-0.685 0.817 -4.524 1.880 -3.330 -2.642 -2.837 -0.089 3.681" Properties=species:S:1:pos:R:3 pbc="T T T"
Re -0.179 -2.338 -1.272
Ni 0.598 -1.257 -3.583
Ni 1.195 -2.513 -7.166
Mo -1.462 -0.264 -2.213
```

Output
Size of the total moment ... 0.00 μB/cell
E_form ... 0.040 eV/atom

---

VASP calculation (PBE) on a geometry-optimized Re2NiMo structure.

```
4
Lattice="-0.993 0.415 -2.490 2.456 -0.461 -1.055 -1.679 -7.577 -0.595" Properties=species:S:1:pos:R:3 pbc="T T T"
Ni -0.535 -5.742 -2.222
Mo -0.861 -3.886 -0.305
Re 0.328 -1.846 -1.916
Re -1.665 -7.514 -0.590
```

Output
Size of the total moment ... 0.00 μB/cell
Excess energy over the best structure of this formula in the dataset ... 98 meV/atom
E_form ... 0.107 eV/atom

---

VASP calculation (PBE) on a geometry-optimized Re2NiMo structure.

```
4
Lattice="-4.445 -1.108 -1.025 -1.546 -3.098 3.169 2.119 4.158 0.509" Properties=species:S:1:pos:R:3 pbc="T T T"
Re -2.996 -2.103 1.072
Mo -1.212 -0.522 2.375
Re 0.000 0.000 0.000
Ni -2.661 0.473 0.278
```

Output
Size of the total moment ... 0.00 μB/cell
Excess energy over the best structure of this formula in the dataset ... 70 meV/atom
E_form ... 0.079 eV/atom

---

VASP calculation (PBE) on a geometry-optimized Re2NiMo structure.

```
8
Lattice="-3.380 -1.316 5.854 5.999 -0.568 3.336 1.250 1.625 5.138" Properties=species:S:1:pos:R:3 pbc="T T T"
Mo -0.410 -0.316 7.794
Re 3.620 -0.120 4.134
Ni 4.279 0.058 6.535
Ni 1.309 -0.942 4.595
Re 3.195 -0.426 11.877
Re 1.953 0.509 7.319
Mo 0.000 0.000 0.000
Re -1.031 -0.480 5.328
```

Output
Size of the total moment ... 0.00 μB/cell
Excess energy over the best structure of this formula in the dataset ... 855 meV/atom
E_form ... 0.864 eV/atom

---

VASP calculation (PBE) on a geometry-optimized ReNi2Mo structure.

```
4
Lattice="-2.387 3.560 1.665 -3.922 1.395 1.955 1.233 -0.277 4.461" Properties=species:S:1:pos:R:3 pbc="T T T"
Ni -2.516 2.327 4.059
Ni 1.211 -0.264 4.442
Re -3.807 3.509 6.060
Mo -1.269 1.170 2.020
```

Output
Size of the total moment ... 0.00 μB/cell
E_form ... 0.145 eV/atom

---

VASP calculation (PBE) on a geometry-optimized Re2NiMo structure.

```
4
Lattice="-0.928 -2.883 -0.979 2.642 -0.254 -1.757 2.682 -2.347 4.371" Properties=species:S:1:pos:R:3 pbc="T T T"
Mo 1.528 -2.155 -0.275
Ni 2.869 -3.328 1.910
Re 1.404 -1.228 2.288
Re 2.619 -2.292 4.269
```

Output
Size of the total moment ... 0.00 μB/cell
Excess energy over the best structure of this formula in the dataset ... 103 meV/atom
E_form ... 0.112 eV/atom

---

VASP calculation (PBE) on a geometry-optimized Re2NiMo structure.

```
4
Lattice="9.050 0.003 0.002 8.634 2.711 0.002 8.634 1.325 2.365" Properties=species:S:1:pos:R:3 pbc="T T T"
Ni 19.715 3.026 1.774
Re 0.036 0.006 0.003
Mo 13.080 2.007 1.177
Re 6.647 1.020 0.598
```

Output
Size of the total moment ... 0.00 μB/cell
Excess energy over the best structure of this formula in the dataset ... 132 meV/atom
E_form ... 0.141 eV/atom

---

VASP calculation (PBE) on a geometry-optimized ReNi2Mo structure.

```
4
Lattice="3.850 0.000 0.000 0.000 2.607 0.023 0.000 2.591 5.255" Properties=species:S:1:pos:R:3 pbc="T T T"
Re 1.925 1.299 1.319
Ni 0.000 2.609 0.061
Mo 1.925 3.898 3.958
Ni 0.000 2.597 2.601
```

Output
Size of the total moment ... 0.00 μB/cell
E_form ... 0.036 eV/atom

---

VASP calculation (PBE) on a geometry-optimized Re2NiMo structure.

```
4
Lattice="2.676 0.000 0.000 0.000 2.676 0.000 0.000 0.000 7.988" Properties=species:S:1:pos:R:3 pbc="T T T"
Re 0.000 0.000 7.839
Re 0.000 0.000 4.143
Ni 1.338 1.338 5.991
Mo 1.338 1.338 1.997
```

Output
Size of the total moment ... 0.00 μB/cell
Excess energy over the best structure of this formula in the dataset ... 178 meV/atom
E_form ... 0.187 eV/atom